# ScBeO2F

A PBEsol-optimized structure of ScBeO2F (meta-GGA SCAN, Alexandria via LeMat-Bulk).

```
data_ScBeO2F
_chemical_formula_sum 'Sc1 Be1 O2 F1'
_cell_length_a 3.2381
_cell_length_b 3.5438
_cell_length_c 3.5438
_cell_angle_alpha 90.00
_cell_angle_beta 90.00
_cell_angle_gamma 90.00
_symmetry_space_group_name_H-M 'P 1'
_symmetry_Int_Tables_number 1
loop_
_symmetry_equiv_pos_as_xyz
'x,y,z'
loop_
_atom_site_label
_atom_site_type_symbol
_atom_site_fract_x
_atom_site_fract_y
_atom_site_fract_z
Sc1 Sc 0.5000 0.5000 0.5000
Be1 Be 0.0000 0.0000 0.0000
O1 O 0.0000 0.0000 0.5000
O2 O 0.0000 0.5000 0.0000
F1 F 0.5000 0.0000 0.0000
```

Calculated values
volume	40.7	Å³ per cell
mass density	4.29	g/cm3
raw total energy	-49.7	eV for the cell shown
total magnetization	0.00	μB/f.u.


# TcNi2Pt

A PBEsol-optimized structure of TcNi2Pt (meta-GGA SCAN, Alexandria via LeMat-Bulk).

```
data_TcNi2Pt
_chemical_formula_sum 'Tc1 Ni2 Pt1'
_cell_length_a 2.6267
_cell_length_b 4.4302
_cell_length_c 4.5327
_cell_angle_alpha 99.91
_cell_angle_beta 106.84
_cell_angle_gamma 90.00
_symmetry_space_group_name_H-M 'P 1'
_symmetry_Int_Tables_number 1
loop_
_symmetry_equiv_pos_as_xyz
'x,y,z'
loop_
_atom_site_label
_atom_site_type_symbol
_atom_site_fract_x
_atom_site_fract_y
_atom_site_fract_z
Ni1 Ni 0.9983 0.9979 0.9966
Ni2 Ni 0.2530 0.7609 0.5060
Tc1 Tc 0.7474 0.2414 0.4948
Pt1 Pt 0.5012 0.4998 0.0025
```

Calculated values
volume	49.7	Å³ per cell
mass density	13.73	g/cm3
ΔE_f	-0.053	eV per atom
raw total energy	-137.8	eV for the cell shown
total magnetization	0.00	μB/f.u.
ΔE to the lowest computed polymorph	36	meV per atom


Question: raw total energy of number 2 (TcNi2Pt)?
Answer: -137.8 eV for the cell shown